The following is a GGA-PBE calculation of Tl2ReCl after structural relaxation, from Alexandria.

Cell and atoms, written as POSCAR:
```
Tl2ReCl
1.0
0.000 3.671 3.671
3.671 0.000 3.671
3.671 3.671 0.000
Re Tl Cl
1 2 1
Direct
0.500 0.500 0.500
0.250 0.250 0.250
0.750 0.750 0.750
0.000 0.000 0.000
```

Output
Polymorph energy (0 for the lowest one), meV per atom: 511
Energy relative to the elements, uncorrected, eV/atom: 0.99

The following is a GGA-PBE calculation of Ca2Zn2Cd15 after structural relaxation, from Alexandria.

Cell and atoms, written as POSCAR:
```
Ca2Zn2Cd15
1.0
7.671 0.007 0.006
1.002 7.606 0.006
1.002 0.880 7.555
Ca Zn Cd
2 2 15
Direct
0.329 0.329 0.329
0.671 0.671 0.671
0.095 0.095 0.095
0.905 0.905 0.905
0.500 0.000 0.000
0.000 0.000 0.500
0.000 0.500 0.000
0.000 0.701 0.299
0.701 0.299 0.000
0.299 0.000 0.701
0.299 0.701 0.000
0.701 0.000 0.299
0.000 0.299 0.701
0.160 0.643 0.643
0.643 0.643 0.160
0.643 0.160 0.643
0.840 0.357 0.357
0.357 0.357 0.840
0.357 0.840 0.357
```

Output
Formation enthalpy at 0 K, meV per atom: -91

no.,DOS(E_F) (states/eV per cell)
1,3.92
2,7.15